*A*
Below is ReTc2Ni at its PBEsol-relaxed geometry, with properties calculated at the SCAN level.

For the spin magnetization, the calculation gives 0.0 μB per cell. The calculation puts the density at 13.60 g/cm3.

Lattice parameters (Å, degrees): 2.6807 2.6807 8.7877 81.23 81.23 60.00
Positions (direct):
Ni1 0.0000 0.0000 0.0000
Re1 0.5000 0.5000 0.5000
Tc1 0.2524 0.2524 0.2429
Tc2 0.7476 0.7476 0.7571

***

*B*
Below is ReTc2Ni at its PBEsol-relaxed geometry, with properties calculated at the SCAN level.

For the spin magnetization, the calculation gives 0.0 μB per cell. The calculation puts the density at 13.79 g/cm3.

Lattice parameters (Å, degrees): 3.7856 3.7856 4.5695 114.47 114.47 90.00
Positions (direct):
Ni1 0.0000 0.0000 0.0000
Re1 0.5000 0.5000 0.0000
Tc1 0.7500 0.2500 0.5000
Tc2 0.2500 0.7500 0.5000

***

*C*
Below is ReTc2Ni at its PBEsol-relaxed geometry, with properties calculated at the SCAN level.

For the spin magnetization, the calculation gives 0.0 μB per cell. The calculation puts the density at 13.77 g/cm3.

Lattice parameters (Å, degrees): 2.6656 2.6656 7.4822 90.00 90.00 90.00
Positions (direct):
Ni1 0.0000 0.0000 0.5008
Re1 0.5000 0.5000 0.7381
Tc1 0.0000 0.0000 0.0048
Tc2 0.5000 0.5000 0.2564

***

Relative calculated energies, zero for the most stable structure, unit meV per atom: *A* 123; *B* 0; *C* 99.

***

*A*
Below is Tl2ReNi at its PBEsol-relaxed geometry, with properties calculated at the SCAN level.

For the spin magnetization, the calculation gives 0.0 μB per cell. The calculation puts the density at 15.95 g/cm3.

Lattice parameters (Å, degrees): 3.3128 4.5325 4.5325 90.01 90.00 90.00
Positions (direct):
Ni1 0.5000 0.0000 0.0000
Re1 0.5000 0.5000 0.5000
Tl1 0.0000 0.0000 0.5000
Tl2 0.0000 0.5000 0.0000

***

*B*
Below is Tl2ReNi at its PBEsol-relaxed geometry, with properties calculated at the SCAN level.

For the spin magnetization, the calculation gives 2.6 μB per cell. The calculation puts the density at 15.32 g/cm3.

Lattice parameters (Å, degrees): 4.6442 4.6442 4.6442 60.00 60.00 60.00
Last column: magnetic moment on the atom in μB.
Positions (direct):
Ni1 0.5000 0.5000 0.5000  0.61
Re1 0.2500 0.2500 0.2500  1.73
Tl1 0.0000 0.0000 0.0000  0.01
Tl2 0.7500 0.7500 0.7500  0.00

***

*C*
Below is Tl2ReNi at its PBEsol-relaxed geometry, with properties calculated at the SCAN level.

For the spin magnetization, the calculation gives 0.0 μB per cell. The calculation puts the density at 15.52 g/cm3.

Lattice parameters (Å, degrees): 3.0195 4.7233 5.3343 113.19 90.00 90.00
Positions (direct):
Ni1 0.5000 0.5000 0.0000
Re1 0.0000 0.5000 0.5000
Tl1 0.0000 0.0000 0.0000
Tl2 0.5000 0.0000 0.5000

***

Relative calculated energies, zero for the most stable structure, unit meV per atom: *A* 20; *B* 335; *C* 0.

***

*A*
Below is TlReNi2 at its PBEsol-relaxed geometry, with properties calculated at the SCAN level.

For the spin magnetization, the calculation gives 0.0 μB per cell. The calculation puts the density at 14.49 g/cm3.

Lattice parameters (Å, degrees): 2.8304 2.8304 8.5504 80.47 80.47 60.00
Positions (direct):
Ni1 0.0077 0.0077 0.9768
Ni2 0.7476 0.7476 0.7572
Re1 0.4891 0.4891 0.5326
Tl1 0.2555 0.2555 0.2335

***

*B*
Below is TlReNi2 at its PBEsol-relaxed geometry, with properties calculated at the SCAN level.

For the spin magnetization, the calculation gives 1.4 μB per cell. The calculation puts the density at 15.09 g/cm3.

Lattice parameters (Å, degrees): 4.0556 4.4466 4.0556 62.87 90.00 117.13
Last column: magnetic moment on the atom in μB.
Positions (direct):
Ni1 0.2500 0.5000 0.2500  0.18
Ni2 0.7500 0.5000 0.7500  0.18
Re1 0.0000 0.0000 0.0000  0.96
Tl1 0.5000 0.0000 0.5000  -0.02

***

Relative calculated energies, zero for the most stable structure, unit meV per atom: *A* 52; *B* 0.

***

*A*
Below is ReNiW at its PBEsol-relaxed geometry, with properties calculated at the SCAN level.

For the spin magnetization, the calculation gives 0.9 μB per cell. The calculation puts the density at 14.35 g/cm3.

Lattice parameters (Å, degrees): 4.1245 4.1245 4.1245 60.00 60.00 60.00
Last column: magnetic moment on the atom in μB.
Positions (direct):
Ni1 0.5000 0.5000 0.5000  0.63
Re1 0.2500 0.2500 0.2500  0.21
W1 0.0000 0.0000 0.0000  0.06

***

*B*
Below is ReNiW at its PBEsol-relaxed geometry, with properties calculated at the SCAN level.

For the spin magnetization, the calculation gives 0.0 μB per cell. The calculation puts the density at 17.24 g/cm3.

Lattice parameters (Å, degrees): 2.5751 3.9735 4.6794 115.12 105.97 90.00
Positions (direct):
Ni1 0.9978 0.9978 0.9956
Re1 0.3381 0.3381 0.6762
W1 0.6641 0.6641 0.3282

***

Relative calculated energies, zero for the most stable structure, unit meV per atom: *A* 695; *B* 0.